Material: V2CuOsO8
Method: DFT, GGA+U
State: relaxed

POSCAR file:
```
V2CuOsO8
1.0
-4.236 0.523 -1.486
0.458 -3.762 -2.460
-2.098 -3.385 4.787
O V Os Cu
8 2 1 1
Direct
0.205 0.795 0.775
0.795 0.205 0.775
0.305 0.305 0.500
0.205 0.795 0.225
0.795 0.205 0.225
0.700 0.701 0.000
0.300 0.299 0.000
0.695 0.695 0.500
0.500 0.500 0.261
0.500 0.500 0.739
0.000 0.000 0.000
0.000 0.000 0.500
```

Calculated values
E_tot: -7.21 eV/atom
volume: 10.6 Å³/atom
space-group type: Cmmm, No. 65
calculated density: 6316 kg/m3
magnetic moment: 3.0 μB/cell